Compound: SmSiIr
Source: OQMD via LeMat-Bulk
Functional: PBE
Structure: relaxed

Properties
ρ, g/cm³: 9.799
E_tot, eV/f.u.: -19.78
V, Å³/f.u.: 63

a b c (Å): 4.4619 4.4619 4.4619
angles (deg): 60.00 60.00 60.00
Closest atoms and distances in Å follow each position.
Fractional coordinates of all 3 atoms:
1 Ir 0.2500 0.2500 0.2500  4 Si 2.73
2 Si 0.0000 0.0000 0.0000  4 Sm 2.73, 4 Ir 2.73
3 Sm 0.7500 0.7500 0.7500  4 Si 2.73